A relaxed structure of Li2Ac3Te2Se4, computed with PBE.

It has space group I4/mmm (No. 139), with a = 4.933 Å, b = 4.933 Å, c = 25.708 Å, α = 90.00°, β = 90.00° and γ = 90.00°. The distinct sites, in fractional coordinates, are Li at (0.000, 0.000, 0.098), Ac at (0.000, 0.000, 0.336), Ac at (0.000, 0.000, 0.500), Te at (0.000, 0.000, 0.205) and Se at (0.000, 0.500, 0.079).

For the uncorrected formation energy, the calculation gives -17.07 eV/f.u.

A relaxed structure of Ho3ErIr, computed with PBE.

It has space group Pmn2_1 (No. 31), with a = 7.573 Å, b = 6.493 Å, c = 6.131 Å, α = 90.00°, β = 90.00° and γ = 90.00°. The distinct sites, in fractional coordinates, are Ho at (0.000, 0.154, 0.000), Ho at (0.250, 0.312, 0.503), Er at (0.000, 0.847, 0.506) and Ir at (0.000, 0.501, 0.254).

A relaxed structure of K4SnBi3Te8, computed with PBE.

It has space group R-3m (No. 166, hexagonal axes), with a = 9.1271 Å, b = 9.1271 Å, c = 25.0243 Å, α = 90.00°, β = 90.00° and γ = 120.00°. The distinct sites, in fractional coordinates, are K at (0.0000, 0.0000, 0.0000), K at (0.0000, 0.5000, 0.0000), Sn at (0.0000, 0.0000, 0.5000), Bi at (0.0000, 0.5000, 0.5000), Te at (0.0000, 0.0000, 0.2375) and Te at (0.0045, 0.5022, 0.2364).

For the uncorrected formation energy, the calculation gives -9.59 eV/f.u.

no.,raw total energy (eV/atom)
1,-4.858
2,-5.777
3,-3.422